(1)
Below is an optimized crystal structure of Mn3CoS, with properties calculated at the PBE level.

extended XYZ file:
```
5
Lattice="4.019 0.000 0.000 0.000 4.019 0.000 0.000 0.000 4.019" Properties=species:S:1:pos:R:3 pbc="T T T"
Mn 0.000 0.000 2.010
Mn 0.000 2.010 0.000
Mn 2.010 0.000 0.000
Co 2.010 2.010 2.010
S 0.000 0.000 0.000
```

For the uncorrected formation energy, the calculation gives 0.6792 eV/atom. As for the energy above the most stable polymorph in this dataset: 0.0000 eV per atom. Its crystal system is cubic. Its calculated density is 6.5 g/cm³.

(2)
Below is an optimized crystal structure of Zn2FeIr, with properties calculated at the PBE level.

extended XYZ file:
```
4
Lattice="-1.893 1.893 3.813 1.893 -1.893 3.813 1.893 1.893 -3.813" Properties=species:S:1:pos:R:3 pbc="T T T"
Zn 1.893 0.000 1.906
Zn 0.000 1.893 1.906
Fe 0.000 0.000 0.000
Ir 0.000 0.000 3.813
```

The energy of formation is -72 meV/atom. Its crystal system is tetragonal. Its calculated density is 11.5 g/cm³.

(3)
Below is an optimized crystal structure of Pr2Y4ErMg, with properties calculated at the PBE level.

extended XYZ file:
```
8
Lattice="5.028 0.000 0.000 0.000 5.017 0.000 -0.008 0.000 10.179" Properties=species:S:1:pos:R:3 pbc="T T T"
Pr 0.000 0.000 0.000
Pr 2.510 2.509 5.089
Y -0.002 2.509 2.540
Y 5.022 2.509 7.639
Y 2.511 0.000 2.538
Y 2.509 0.000 7.641
Er -0.004 0.000 5.089
Mg 2.514 2.509 0.000
```

The energy of formation is 31 meV/atom. Its crystal system is monoclinic. Its calculated density is 5.4 g/cm³.